A plane-wave DFT calculation with PBE was carried out for SrLaCd2 after structural relaxation.

a b c (Å): 5.511 5.511 5.511
angles (deg): 60.00 60.00 60.00
Sites, in units of the cell vectors:
Cd1 0.000 0.000 0.000
Cd2 0.250 0.250 0.250
Sr1 0.750 0.750 0.750
La1 0.500 0.500 0.500

crystal system	cubic
symmetry	F-43m, No. 216
energy of formation from the pure elements	-6.23	kJ per mole of atoms

A plane-wave DFT calculation with PBE was carried out for Ba5PAu after structural relaxation.

a b c (Å): 4.535 8.618 18.059
angles (deg): 89.30 90.00 90.00
Sites, in units of the cell vectors:
Ba1 0.750 0.638 0.912
Ba2 0.250 0.880 0.094
Ba3 0.250 0.362 0.088
Ba4 0.750 0.120 0.906
Ba5 0.750 0.285 0.500
Ba6 0.750 0.894 0.697
Ba7 0.250 0.715 0.500
Ba8 0.250 0.441 0.711
Ba9 0.750 0.559 0.289
Ba10 0.250 0.106 0.303
P1 0.250 0.419 0.393
P2 0.750 0.581 0.607
Au1 0.750 0.131 0.165
Au2 0.250 0.869 0.835

crystal system	monoclinic
symmetry	P2_1/m, No. 11
energy of formation from the pure elements	-53.16	kJ per mole of atoms

A plane-wave DFT calculation with PBE was carried out for Hg3Au after structural relaxation.

a b c (Å): 4.031 5.467 9.390
angles (deg): 90.00 90.00 111.63
Sites, in units of the cell vectors:
Hg1 0.363 0.726 0.048
Hg2 0.363 0.726 0.452
Hg3 0.044 0.088 0.250
Hg4 0.637 0.274 0.952
Hg5 0.637 0.274 0.548
Hg6 0.956 0.912 0.750
Au1 0.247 0.494 0.750
Au2 0.753 0.506 0.250

crystal system	orthorhombic
symmetry	Cmcm, No. 63
energy of formation from the pure elements	4.92	kJ per mole of atoms
polymorph energy (0 for the lowest one)	29.9	meV/atom

A plane-wave DFT calculation with PBE was carried out for MgCdP2 after structural relaxation.

a b c (Å): 3.255 3.255 7.138
angles (deg): 90.00 90.00 93.06
Sites, in units of the cell vectors:
Cd1 0.000 0.000 0.501
P1 0.000 0.000 0.052
P2 0.500 0.500 0.163
Mg1 0.500 0.500 0.785

crystal system	orthorhombic
symmetry	Cmm2, No. 35
energy of formation from the pure elements	10.45	kJ per mole of atoms
polymorph energy (0 for the lowest one)	224.8	meV/atom

A plane-wave DFT calculation with PBE was carried out for KCd6F12 after structural relaxation.

a b c (Å): 7.039 7.039 7.039
angles (deg): 107.17 107.17 107.17
Sites, in units of the cell vectors:
Cd1 0.344 0.748 0.748
Cd2 0.252 0.252 0.656
Cd3 0.748 0.748 0.344
Cd4 0.252 0.656 0.252
Cd5 0.748 0.344 0.748
Cd6 0.656 0.252 0.252
F1 0.500 0.874 0.126
F2 0.126 0.500 0.874
F3 0.835 0.571 0.571
F4 0.874 0.500 0.126
F5 0.571 0.835 0.571
F6 0.571 0.571 0.835
F7 0.500 0.126 0.874
F8 0.429 0.165 0.429
F9 0.874 0.126 0.500
F10 0.429 0.429 0.165
F11 0.165 0.429 0.429
F12 0.126 0.874 0.500
K1 0.000 0.000 0.000

crystal system	trigonal
symmetry	R-3m, No. 166
energy	-68.1	eV per formula unit

A plane-wave DFT calculation with PBE was carried out for CsLi4B5O10 after structural relaxation.

a b c (Å): 9.511 7.028 16.302
angles (deg): 82.59 90.00 90.00
Sites, in units of the cell vectors:
O1 0.181 0.526 0.560
O2 0.319 0.526 0.060
O3 0.761 0.174 0.394
O4 0.988 0.867 0.346
O5 0.126 0.807 0.227
O6 0.011 0.847 0.092
O7 0.973 0.205 0.472
O8 0.239 0.826 0.606
O9 0.626 0.193 0.273
O10 0.118 0.099 0.786
O11 0.887 0.460 0.854
O12 0.613 0.460 0.354
O13 0.874 0.193 0.773
O14 0.191 0.242 0.100
O15 0.382 0.099 0.286
O16 0.220 0.026 0.922
O17 0.512 0.867 0.846
O18 0.489 0.847 0.592
O19 0.261 0.826 0.106
O20 0.309 0.242 0.600
O21 0.280 0.026 0.422
O22 0.488 0.133 0.154
O23 0.691 0.758 0.400
O24 0.473 0.795 0.028
O25 0.527 0.205 0.972
O26 0.882 0.901 0.214
O27 0.681 0.474 0.940
O28 0.780 0.974 0.078
O29 0.012 0.133 0.654
O30 0.809 0.758 0.900
O31 0.374 0.807 0.727
O32 0.739 0.174 0.894
O33 0.819 0.474 0.440
O34 0.027 0.795 0.528
O35 0.720 0.974 0.578
O36 0.618 0.901 0.714
O37 0.113 0.540 0.146
O38 0.387 0.540 0.646
O39 0.511 0.153 0.408
O40 0.989 0.153 0.908
B1 0.373 0.749 0.643
B2 0.627 0.251 0.357
B3 0.497 0.857 0.765
B4 0.857 0.280 0.436
B5 0.887 0.909 0.126
B6 0.503 0.143 0.235
B7 0.997 0.143 0.735
B8 0.143 0.720 0.564
B9 0.873 0.251 0.857
B10 0.702 0.569 0.396
B11 0.113 0.091 0.874
B12 0.127 0.749 0.143
B13 0.643 0.280 0.936
B14 0.613 0.909 0.626
B15 0.387 0.091 0.374
B16 0.298 0.431 0.604
B17 0.003 0.857 0.265
B18 0.202 0.431 0.104
B19 0.357 0.720 0.064
B20 0.798 0.569 0.896
Cs1 0.801 0.398 0.133
Cs2 0.699 0.398 0.633
Cs3 0.199 0.602 0.867
Cs4 0.301 0.602 0.367
Li1 0.352 0.047 0.532
Li2 0.419 0.002 0.928
Li3 0.591 0.723 0.943
Li4 0.081 0.002 0.428
Li5 0.148 0.047 0.032
Li6 0.091 0.277 0.557
Li7 0.581 0.998 0.072
Li8 0.909 0.723 0.443
Li9 0.720 0.959 0.820
Li10 0.648 0.953 0.468
Li11 0.919 0.998 0.572
Li12 0.852 0.953 0.968
Li13 0.220 0.041 0.680
Li14 0.280 0.041 0.180
Li15 0.409 0.277 0.057
Li16 0.780 0.959 0.320

crystal system	monoclinic
symmetry	P2_1/c, No. 14
energy	-139.0	eV per formula unit

A plane-wave DFT calculation with PBE was carried out for ErTaNi4 after structural relaxation.

a b c (Å): 4.917 4.917 4.917
angles (deg): 60.00 60.00 60.00
Sites, in units of the cell vectors:
Ni1 0.127 0.624 0.624
Ni2 0.624 0.624 0.624
Ni3 0.624 0.624 0.127
Ni4 0.624 0.127 0.624
Ta1 0.250 0.250 0.250
Er1 0.000 0.000 0.000

crystal system	cubic
symmetry	F-43m, No. 216
energy of formation from the pure elements	-23.80	kJ per mole of atoms

A plane-wave DFT calculation with PBE was carried out for BaLi3Ga3 after structural relaxation.

a b c (Å): 9.022 9.022 6.928
angles (deg): 49.37 49.37 60.00
Sites, in units of the cell vectors:
Li1 0.091 0.700 0.220
Li2 0.909 0.300 0.780
Li3 0.989 0.091 0.220
Li4 0.700 0.989 0.220
Li5 0.011 0.909 0.780
Li6 0.300 0.011 0.780
Ga1 0.757 0.594 0.433
Ga2 0.243 0.406 0.567
Ga3 0.406 0.784 0.567
Ga4 0.594 0.216 0.433
Ga5 0.784 0.243 0.567
Ga6 0.216 0.757 0.433
Ba1 0.308 0.308 0.077
Ba2 0.692 0.692 0.923

crystal system	trigonal
symmetry	R-3, No. 148
energy of formation from the pure elements	-22.04	kJ per mole of atoms
polymorph energy (0 for the lowest one)	0.0	meV/atom

A plane-wave DFT calculation with PBE was carried out for RbHg3Bi after structural relaxation.

a b c (Å): 6.570 6.570 6.570
angles (deg): 90.00 90.00 90.00
Last column: magnetic moment on the atom in μB.
Sites, in units of the cell vectors:
Hg1 0.500 0.000 0.000  0.02
Hg2 0.000 0.500 0.000  0.02
Hg3 0.000 0.000 0.500  0.01
Bi1 0.500 0.500 0.500  1.13
Rb1 0.000 0.000 0.000  0.00

crystal system	cubic
symmetry	Pm-3m, No. 221
energy of formation from the pure elements	43.35	kJ per mole of atoms
polymorph energy (0 for the lowest one)	634.3	meV/atom

A plane-wave DFT calculation with PBE was carried out for Li2CoBr after structural relaxation.

a b c (Å): 4.413 4.413 4.413
angles (deg): 60.00 60.00 60.00
Last column: magnetic moment on the atom in μB.
Sites, in units of the cell vectors:
Li1 0.750 0.750 0.750  -0.02
Li2 0.000 0.000 0.000  -0.03
Br1 0.500 0.500 0.500  0.04
Co1 0.250 0.250 0.250  1.14

crystal system	cubic
symmetry	F-43m, No. 216
polymorph energy (0 for the lowest one)	352.7	meV/atom

A plane-wave DFT calculation with PBE was carried out for TeRh2N2 after structural relaxation.

a b c (Å): 7.105 7.105 3.066
angles (deg): 90.00 90.00 90.00
Sites, in units of the cell vectors:
N1 0.940 0.560 0.000
N2 0.060 0.440 0.000
N3 0.560 0.060 0.000
N4 0.440 0.940 0.000
Te1 0.500 0.500 0.000
Te2 0.000 0.000 0.000
Rh1 0.188 0.312 0.500
Rh2 0.812 0.688 0.500
Rh3 0.688 0.188 0.500
Rh4 0.312 0.812 0.500

crystal system	tetragonal
symmetry	P4/mbm, No. 127
polymorph energy (0 for the lowest one)	0.0	meV/atom

A plane-wave DFT calculation with PBE was carried out for Pm15Tl4Pb after structural relaxation.

a b c (Å): 4.959 4.959 24.880
angles (deg): 90.00 90.00 90.00
Sites, in units of the cell vectors:
Pm1 0.500 0.000 0.500
Pm2 0.000 0.500 0.500
Pm3 0.500 0.500 0.800
Pm4 0.500 0.500 0.400
Pm5 0.000 0.500 0.300
Pm6 0.500 0.000 0.700
Pm7 0.500 0.000 0.900
Pm8 0.500 0.500 0.600
Pm9 0.500 0.000 0.100
Pm10 0.000 0.500 0.700
Pm11 0.500 0.000 0.300
Pm12 0.500 0.500 0.200
Pm13 0.000 0.500 0.900
Pm14 0.000 0.500 0.100
Pm15 0.500 0.500 0.000
Tl1 0.000 0.000 0.400
Tl2 0.000 0.000 0.201
Tl3 0.000 0.000 0.600
Tl4 0.000 0.000 0.799
Pb1 0.000 0.000 0.000

crystal system	tetragonal
symmetry	P4/mmm, No. 123
energy of formation from the pure elements	-22.17	kJ per mole of atoms

Number 1: density of states at the Fermi level 0.667 states/eV/atom. Number 2: density of states at the Fermi level 1.010 states/eV/atom. Number 3: density of states at the Fermi level 0.387 states/eV/atom. Number 4: density of states at the Fermi level 0.444 states/eV/atom. Number 5: density of states at the Fermi level 0.114 states/eV/atom. Number 6: density of states at the Fermi level 0.000 states/eV/atom. Number 7: density of states at the Fermi level 0.890 states/eV/atom. Number 8: density of states at the Fermi level 0.721 states/eV/atom. Number 9: density of states at the Fermi level 1.105 states/eV/atom. Number 10: density of states at the Fermi level 1.560 states/eV/atom. Number 11: density of states at the Fermi level 0.392 states/eV/atom. Number 12: density of states at the Fermi level 1.610 states/eV/atom.